# GGA-PBEsol TePt3Pb, optimized geometry
# DOS at the Fermi energy = 1.74 states/eV/cell
# V = 23.95 Å³/atom
# uncorrected energy = -5.1464 eV/atom
# formation energy without anion corrections = 537 meV per atom
data_TePt3Pb
_space_group_name_H-M_alt 'P m -3 m'
_space_group_IT_number 221
_space_group_name_Hall '-P 4 2 3'
_cell_length_a 4.9291
_cell_length_b 4.9291
_cell_length_c 4.9291
_cell_angle_alpha 90.00
_cell_angle_beta 90.00
_cell_angle_gamma 90.00
loop_
_atom_site_label
_atom_site_type_symbol
_atom_site_fract_x
_atom_site_fract_y
_atom_site_fract_z
_atom_site_occupancy
Te1 Te 0.0000 0.0000 0.0000 1
Pt1 Pt 0.0000 0.0000 0.5000 1
Pb1 Pb 0.5000 0.5000 0.5000 1


# GGA-PBEsol Te2Pt2Pb, optimized geometry
# DOS at the Fermi energy = 6.06 states/eV/cell
# V = 23.39 Å³/atom
# uncorrected energy = -5.0815 eV/atom
# formation energy without anion corrections = -86 meV per atom
data_Te2Pt2Pb
_space_group_name_H-M_alt 'I 4/m m m'
_space_group_IT_number 139
_space_group_name_Hall '-I 4 2'
_cell_length_a 3.8921
_cell_length_b 3.8921
_cell_length_c 15.4412
_cell_angle_alpha 90.00
_cell_angle_beta 90.00
_cell_angle_gamma 90.00
loop_
_atom_site_label
_atom_site_type_symbol
_atom_site_fract_x
_atom_site_fract_y
_atom_site_fract_z
_atom_site_occupancy
Te1 Te 0.0000 0.0000 0.1262 1
Pt1 Pt 0.0000 0.5000 0.2500 1
Pb1 Pb 0.0000 0.0000 0.5000 1